(1)
Computed, not measured: a relaxed AcPr6Nd2Tm crystal at the PBE-GGA level of DFT.

Cell and atoms, written as POSCAR:
```
AcPr6Nd2Tm
1.0
-0.941 4.793 -8.594
8.469 -2.952 -1.996
-7.059 -5.608 -1.778
Pr Nd Tm Ac
12 4 2 2
Direct
0.946 0.871 0.248 Pr
0.690 0.011 0.563 Pr
0.884 0.291 0.502 Pr
0.116 0.709 0.498 Pr
0.190 0.563 0.011 Pr
0.616 0.498 0.709 Pr
0.446 0.248 0.871 Pr
0.810 0.437 0.989 Pr
0.310 0.989 0.437 Pr
0.054 0.129 0.752 Pr
0.554 0.752 0.129 Pr
0.384 0.502 0.291 Pr
0.954 0.686 0.799 Nd
0.046 0.314 0.201 Nd
0.454 0.799 0.686 Nd
0.546 0.201 0.314 Nd
0.250 0.412 0.588 Tm
0.750 0.588 0.412 Tm
0.250 0.977 0.023 Ac
0.750 0.023 0.977 Ac
```

The space-group type is C2/c. For the total energy, the calculation gives -4.567 eV/atom. The value obtained for the calculated formation energy is 0.113 eV/atom.

(2)
Computed, not measured: a relaxed AcPr2NdTm4 crystal at the PBE-GGA level of DFT.

Cell and atoms, written as POSCAR:
```
AcPr2NdTm4
1.0
-3.204 -3.945 -8.215
8.869 -3.042 -2.324
-5.274 0.099 10.794
Tm Pr Ac Nd
8 4 2 2
Direct
0.259 0.242 0.002 Tm
0.739 0.237 0.988 Tm
0.737 0.239 0.488 Tm
0.261 0.763 0.012 Tm
0.741 0.758 0.998 Tm
0.742 0.759 0.502 Tm
0.263 0.761 0.512 Tm
0.258 0.241 0.498 Tm
0.500 0.000 0.500 Pr
0.500 0.000 0.000 Pr
0.500 0.500 0.000 Pr
0.000 0.000 0.500 Pr
0.000 0.500 0.500 Ac
0.000 0.500 0.000 Ac
0.500 0.500 0.500 Nd
0.000 0.000 0.000 Nd
```

The space-group type is Imma. For the total energy, the calculation gives -4.121 eV/atom. The value obtained for the calculated formation energy is 0.419 eV/atom.